Entry 1:
Below is an optimized crystal structure of Ac2SI, with properties calculated at the PBE-GGA level.

Structure (POSCAR):
```
Ac2SI
1.0
3.887 0.000 0.000
0.000 3.887 0.000
0.000 0.000 7.917
I Ac S
1 2 1
Cartesian
1.944 1.944 3.959
0.000 0.000 6.098
0.000 0.000 1.820
1.944 1.944 0.000
```

Properties
E above lowest polymorph (meV/atom): 241.6
Raw formation energy (eV per atom): -1.193

=====

Entry 2:
Below is an optimized crystal structure of Mg2CdAu3, with properties calculated at the PBE-GGA level.

Structure (POSCAR):
```
Mg2CdAu3
1.0
3.386 0.000 0.000
0.000 3.386 0.000
0.000 0.000 9.683
Mg Cd Au
2 1 3
Cartesian
1.693 1.693 8.093
1.693 1.693 1.590
1.693 1.693 4.842
0.000 0.000 0.000
0.000 0.000 6.601
0.000 0.000 3.082
```

Properties
ΔH_f (0 K) (meV per atom): -478

=====

Entry 3:
Below is an optimized crystal structure of NdHoSeO2, with properties calculated at the PBE-GGA level.

Structure (POSCAR):
```
NdHoSeO2
1.0
-0.851 3.557 1.815
-6.353 -1.784 0.518
3.695 -2.367 6.370
Nd Ho Se O
2 2 2 4
Cartesian
-1.166 -2.539 6.724
-2.343 1.945 1.980
-2.925 -1.302 3.476
-0.584 0.707 5.228
2.273 -0.976 5.273
-5.782 0.381 3.431
-2.485 0.829 4.099
-1.024 -1.424 4.605
-0.699 -0.314 7.176
-2.810 -0.280 1.528
```

Properties
Raw formation energy (eV per atom): -3.057

=====

Entry 4:
Below is an optimized crystal structure of Ti2WAu, with properties calculated at the PBE-GGA level.

Structure (POSCAR):
```
Ti2WAu
1.0
3.962 0.000 0.000
0.000 3.962 0.000
1.981 1.981 9.218
Au W Ti
2 2 4
Cartesian
0.000 0.000 0.000
3.962 1.981 4.609
1.981 1.981 0.000
1.981 3.962 4.609
2.929 0.990 2.305
1.033 2.971 2.305
2.971 3.014 6.914
4.952 4.910 6.914
```

Properties
E above lowest polymorph (meV/atom): 821.2
ΔH_f (0 K) (meV per atom): 552

=====

Entry 5:
Below is an optimized crystal structure of BeMoCl2, with properties calculated at the PBE-GGA level.

Structure (POSCAR):
```
BeMoCl2
1.0
5.256 0.000 0.000
0.000 5.256 0.000
2.628 2.628 4.795
Be Mo Cl
2 2 4
Cartesian
2.628 2.628 0.000
2.628 5.256 2.397
0.000 0.000 0.000
5.256 2.628 2.397
3.609 1.314 1.199
1.647 3.942 1.199
3.942 4.276 3.596
6.570 6.237 3.596
```

Properties
E above lowest polymorph (meV/atom): 817.4
Raw formation energy (eV per atom): 0.513

=====

Entry 6:
Below is an optimized crystal structure of Na8Cd2Pb, with properties calculated at the PBE-GGA level.

Structure (POSCAR):
```
Na8Cd2Pb
1.0
-0.368 -3.201 -4.414
-0.137 -6.533 4.743
-7.368 5.530 -0.031
Na Cd Pb
8 2 1
Cartesian
-7.205 1.831 -1.976
-4.837 -0.224 -4.061
-1.814 -1.813 0.234
-0.572 -7.496 0.866
-2.529 -5.588 3.021
-4.265 -3.076 -2.038
-7.131 1.346 1.755
-4.706 -3.161 1.436
-2.404 -5.266 -0.603
-5.180 -0.352 -0.556
-6.594 -1.423 3.714
```

Properties
E above lowest polymorph (meV/atom): 5.0
ΔH_f (0 K) (meV per atom): -63

=====

Entry 7:
Below is an optimized crystal structure of Tb3PmSc2, with properties calculated at the PBE-GGA level.

Structure (POSCAR):
```
Tb3PmSc2
1.0
-1.105 -3.201 -0.277
7.434 -2.023 -6.273
4.203 -0.573 10.691
Tb Pm Sc
6 2 4
Cartesian
4.379 -1.905 4.550
6.224 -1.851 -3.427
7.403 -3.052 5.741
6.153 -3.891 -0.409
3.129 -2.745 -1.600
4.309 -3.945 7.568
9.411 -3.309 0.704
1.122 -2.488 3.437
6.906 -2.607 2.579
3.626 -3.190 1.562
8.967 -5.204 3.539
1.565 -0.592 0.603
```

Properties
E above lowest polymorph (meV/atom): 0.0
ΔH_f (0 K) (meV per atom): 154

=====

Entry 8:
Below is an optimized crystal structure of Pm3Nd3DyTe8, with properties calculated at the PBE-GGA level.

Structure (POSCAR):
```
Pm3Nd3DyTe8
1.0
8.918 0.000 0.000
-4.459 7.722 -0.027
0.000 -5.124 7.312
Pm Nd Dy Te
3 3 1 8
Cartesian
4.459 -2.562 3.656
2.229 1.299 3.642
-2.229 1.299 3.642
0.000 0.000 0.000
-2.229 3.861 -0.014
2.229 3.861 -0.014
0.000 -2.562 3.656
0.000 2.580 1.832
4.459 0.018 5.453
4.459 2.572 1.826
0.000 0.027 5.459
6.681 -1.277 1.840
-2.222 3.875 5.445
2.236 -1.277 1.840
2.222 3.875 5.445
```

Properties
Raw formation energy (eV per atom): -1.444

=====

Entry 9:
Below is an optimized crystal structure of Cs2Pu2US6, with properties calculated at the PBE-GGA level.

Structure (POSCAR):
```
Cs2Pu2US6
1.0
-1.842 4.774 4.861
-4.971 -3.863 -3.190
2.979 -6.017 5.297
Cs Pu U S
2 2 1 6
Cartesian
-2.370 3.316 3.502
-4.443 -2.406 -1.831
-2.437 -3.988 2.147
-1.397 -1.119 4.822
1.489 -3.009 2.649
-3.010 -3.388 4.804
-0.002 -5.261 2.631
-0.824 -1.719 2.164
1.016 -2.452 5.250
-3.832 0.154 4.338
-4.849 -2.656 1.719
```

Properties
Raw formation energy (eV per atom): -1.558

=====

Entry 10:
Below is an optimized crystal structure of Y6NiRh5, with properties calculated at the PBE-GGA level.

Structure (POSCAR):
```
Y6NiRh5
1.0
-1.597 -4.539 0.480
0.371 -0.857 -6.868
6.045 -4.607 0.901
Y Ni Rh
6 1 5
Cartesian
0.957 -5.960 -4.456
0.771 -5.530 -1.012
-0.706 -2.483 -1.469
-0.520 -2.914 -4.918
4.047 -4.473 -4.474
3.861 -4.043 -1.030
0.000 0.000 0.000
3.145 -6.524 -2.513
1.477 -3.047 0.460
0.185 -0.429 -3.434
2.971 -6.100 0.922
1.674 -3.479 -2.973
```

Properties
ΔH_f (0 K) (meV per atom): -763

=====

Entry 11:
Below is an optimized crystal structure of MgTa2Co, with properties calculated at the PBE-GGA level.

Structure (POSCAR):
```
MgTa2Co
1.0
-1.360 -1.199 3.572
-2.553 -0.610 -1.177
-0.069 -5.677 -1.931
Co Mg Ta
1 1 2
Cartesian
-1.336 -2.171 1.009
-2.647 -5.315 -0.545
-0.071 -0.143 -0.075
-1.240 -3.000 -1.479
```

Properties
ΔH_f (0 K) (meV per atom): 216

=====

no.,Fermi-level density of states (states/eV/f.u.)
1,2.96
2,1.35
3,0.00
4,6.04
5,3.06
6,5.08
7,10.26
8,7.19
9,26.06
10,6.71
11,3.29